(1)
# Dy3Er3Tl2

Dy3Er3Tl2 after structural relaxation (PBE, Alexandria via LeMat-Bulk).

Cell: 5.1614 6.4853 15.6814 Å, 90.00 90.00 113.45°
Atoms (fractional coordinates):
Dy (0.4587, 0.9173, 0.2500)
Dy (0.3612, 0.7223, 0.9695)
Dy (0.6388, 0.2777, 0.4695)
Dy (0.3612, 0.7223, 0.5305)
Dy (0.5413, 0.0827, 0.7500)
Dy (0.6388, 0.2777, 0.0305)
Er (0.9602, 0.9204, 0.1039)
Er (0.0398, 0.0796, 0.8961)
Er (0.2577, 0.5153, 0.7500)
Er (0.0398, 0.0796, 0.6039)
Er (0.9602, 0.9204, 0.3961)
Er (0.7423, 0.4847, 0.2500)
Tl (0.7771, 0.5541, 0.6396)
Tl (0.7771, 0.5541, 0.8604)
Tl (0.2229, 0.4459, 0.3604)
Tl (0.2229, 0.4459, 0.1396)

Its energy above the most stable polymorph in this dataset is 0.67 eV per formula unit. The energy is -4.1177 eV per atom. The total magnetic moment comes out at 0.00 μB/cell.

(2)
# AlZnPd6

AlZnPd6 after structural relaxation (PBE, Alexandria via LeMat-Bulk).

Cell: 6.9440 6.9305 4.5427 Å, 49.50 50.03 59.27°
Atoms (fractional coordinates):
Pd (0.7504, 0.9695, 0.7869)
Pd (0.9139, 0.4263, 0.4051)
Pd (0.4744, 0.2502, 0.2667)
Pd (0.2496, 0.0305, 0.2131)
Pd (0.5256, 0.7498, 0.7333)
Pd (0.0861, 0.5737, 0.5949)
Zn (0.0000, 0.0000, 0.0000)
Al (0.5000, 0.5000, 0.5000)

Its energy above the most stable polymorph in this dataset is 0.96 eV per formula unit. The energy is -4.8680 eV per atom. The total magnetic moment comes out at 0.00 μB/cell.